The following is a DFT calculation (PBE) of a geometry-optimized AlCoW2 structure.

* crystal system: monoclinic
* symmetry: No. 10
* magnetic moment: 0.85 μB/f.u.
* formation enthalpy at 0 K: 0.031 eV/atom

Lattice parameters (Å, degrees): 4.1228 2.7102 5.4457 71.11 90.00 90.00
With the nearest neighbours (Å) after each atom.
Sites, in units of the cell vectors:
Co: 0.5000 0.7500 0.7500  2 Al 2.62, 8 W 2.64-2.93, 2 Co 2.71
Al: 0.5000 0.2500 0.2500  2 Co 2.62, 2 Al 2.71, 8 W 2.72-2.88
W: 0.0000 0.9784 0.9954  4 W 2.60-2.71, 2 Co 2.64, 4 Al 2.72-2.88
W: 0.0000 0.5216 0.5046  4 W 2.60-2.71, 2 Co 2.64, 4 Al 2.72-2.88



The following is a DFT calculation (PBE) of a geometry-optimized LaTmNi structure.

* crystal system: tetragonal
* symmetry: No. 107
* energy above the most stable polymorph in this dataset: 0.043 eV/atom
* magnetic moment: 0.00 μB/f.u.
* formation enthalpy at 0 K: -0.216 eV/atom

Lattice parameters (Å, degrees): 3.4535 3.4535 6.7956 104.72 104.72 90.00
With the nearest neighbours (Å) after each atom.
Sites, in units of the cell vectors:
Ni: 0.6792 0.6792 0.3585  4 Tm 2.82, 4 La 3.09
Tm: 0.2909 0.2909 0.5817  4 Ni 2.82
La: 0.0299 0.0299 0.0598  4 Ni 3.09, 1 Tm 3.31, 4 La 3.45



The following is a DFT calculation (PBE) of a geometry-optimized DyEr2In structure.

* crystal system: trigonal
* symmetry: No. 166
* energy above the most stable polymorph in this dataset: 0.348 eV/atom
* magnetic moment: 0.80 μB/f.u.
* formation enthalpy at 0 K: 0.084 eV/atom

Lattice parameters (Å, degrees): 3.4553 3.4553 11.9940 81.72 81.72 60.00
With the nearest neighbours (Å) after each atom.
Sites, in units of the cell vectors:
Dy: 0.0000 0.0000 0.0000  2 Er 3.39, 6 Dy 3.46
In: 0.5000 0.5000 0.5000  6 Er 3.22, 6 In 3.46
Er: 0.0955 0.0955 0.7136  3 In 3.22, 1 Dy 3.39, 6 Er 3.46
Er: 0.9045 0.9045 0.2864  3 In 3.22, 1 Dy 3.39, 6 Er 3.46



The following is a DFT calculation (PBE) of a geometry-optimized InCoPt2 structure.

* crystal system: orthorhombic
* symmetry: No. 25
* magnetic moment: 2.06 μB/f.u.
* formation enthalpy at 0 K: -0.148 eV/atom

Lattice parameters (Å, degrees): 4.5545 2.8665 4.8448 90.00 90.00 90.00
With the nearest neighbours (Å) after each atom.
Sites, in units of the cell vectors:
Co: 0.0000 0.6250 0.4292  8 Pt 2.71-2.92, 2 Co 2.87, 2 In 2.90
In: 0.5000 0.6250 0.8014  8 Pt 2.76-2.87, 2 In 2.87, 2 Co 2.90
Pt: 0.0000 0.1249 0.9549  4 Co 2.71-2.92, 4 In 2.79, 4 Pt 2.87
Pt: 0.5000 0.1251 0.3145  4 Co 2.75, 4 In 2.76-2.87, 4 Pt 2.87